## NpNbRu4 (GGA-PBE)

Data for crystalline NpNbRu4 at its relaxed geometry.

POSCAR file:
```
NpNbRu4
1.0
5.2133 0.0000 0.0000
2.6066 4.5148 0.0000
2.6066 1.5049 4.2566
Np Ru Nb
1 4 1
Direct
0.2500 0.2500 0.2500
0.6253 0.6253 0.1242
0.6253 0.1242 0.6253
0.6253 0.6253 0.6253
0.1242 0.6253 0.6253
0.0000 0.0000 0.0000
```

SG	F-43m (216)
spin magnetization	2.9	μB/f.u.
formation enthalpy at 0 K	0.049	eV per atom